18
Lattice="-2.1863 1.4828 2.8987 4.1245 -6.7411 3.9058 8.2761 6.6958 2.8169" Properties=species:S:1:pos:R:3 comment="Ce2AlCuS5 PBE optimized geometry" e_form_raw_ev_per_atom=-1.437 dos_at_fermi_per_ev_atom=1.33 pbc="T T T"
Ce 7.8530 1.5076 7.8047
S 4.5378 -1.5085 4.1941
S 5.3596 -3.9784 6.0773
S 1.1441 -0.5963 3.8210
S 3.8317 2.3335 4.3494
Ce 3.1974 0.6063 2.1014
Al 7.4711 6.0717 5.1821
S 5.4719 5.9152 3.7543
Cu 2.3575 -2.3060 2.9577
Al 6.3109 -1.7478 5.6537
S 6.8986 3.9348 5.8434
Ce 2.7223 -2.7513 6.1135
S 7.1488 0.4792 5.1465
Ce 6.2654 3.1963 3.0905
Cu 5.4116 1.7652 5.8316
S 6.1943 -1.1448 7.9104
S 10.3782 2.3367 6.6321
S 0.5988 -0.1858 0.5466

***

4
Lattice="4.9272 0.0000 0.0000 2.4636 4.2670 0.0000 2.4636 1.4223 4.0230" Properties=species:S:1:pos:R:3 comment="CeScAlCu PBE optimized geometry" e_form_kcal_per_mol_atoms=-4.60 dos_at_fermi_per_ev_atom=1.71 pbc="T T T"
Ce 0.0000 0.0000 0.0000
Al 2.4636 1.4223 1.0058
Cu 7.3907 4.2670 3.0173
Sc 4.9272 2.8447 2.0115

***

10
Lattice="4.0880 0.0000 0.0000 0.0000 4.0880 0.0000 0.0000 0.0000 9.9612" Properties=species:S:1:pos:R:3 comment="Ce2AlCu4Si3 PBE optimized geometry" e_form_raw_ev_per_atom=-0.524 dos_at_fermi_per_ev_atom=0.92 pbc="T T T"
Cu 2.0440 0.0000 6.3191
Al 2.0440 2.0440 4.9806
Cu 0.0000 0.0000 0.0000
Cu 0.0000 2.0440 3.6421
Cu 2.0440 2.0440 0.0000
Si 0.0000 0.0000 4.9806
Si 0.0000 2.0440 1.2968
Ce 0.0000 2.0440 7.5561
Ce 2.0440 0.0000 2.4052
Si 2.0440 0.0000 8.6644

***

5
Lattice="3.9871 0.0000 0.0000 0.0000 3.9871 0.0000 -1.9936 -1.9936 5.4416" Properties=species:S:1:pos:R:3 comment="CeAlCuSi2 PBE optimized geometry" e_form_raw_ev_per_atom=-0.485 dos_at_fermi_per_ev_atom=0.89 pbc="T T T"
Si 1.9936 1.9936 1.2100
Cu 0.0000 1.9936 2.7208
Al 1.9936 0.0000 2.7208
Ce 0.0000 0.0000 0.0000
Si 0.0000 0.0000 4.2317

***

10
Lattice="-3.3338 -1.1414 -2.1295 -1.6720 -1.5296 3.4375 -4.2383 8.8655 1.8835" Properties=species:S:1:pos:R:3 comment="Ce2AlCu3Si4 PBE optimized geometry" e_form_raw_ev_per_atom=-0.497 dos_at_fermi_per_ev_atom=1.25 pbc="T T T"
Cu -5.3863 7.2094 0.5882
Ce -4.0450 5.9477 3.1449
Si 0.0000 0.0000 0.0000
Si -2.5029 -1.3355 0.6540
Si -2.3467 2.3952 2.3901
Cu -1.3549 0.3206 1.9493
Si -4.3945 5.1348 0.1474
Cu -2.1192 4.4327 0.9418
Ce -2.6962 1.5823 -0.6073
Al -4.6221 3.0972 1.5958

***

4
Lattice="-3.1072 3.8018 1.3474 -4.5905 -1.0320 1.9458 -0.9386 0.8975 4.9231" Properties=species:S:1:pos:R:3 comment="TbCeAlCu PBE optimized geometry" e_form_kcal_per_mol_atoms=-3.98 dos_at_fermi_per_ev_atom=2.18 pbc="T T T"
Al -6.4773 2.7504 6.1622
Ce -4.3182 1.8336 4.1081
Tb 0.0000 0.0000 0.0000
Cu -2.1591 0.9168 2.0541

***

4
Lattice="5.1325 0.0000 0.0000 2.5662 4.4448 0.0000 2.5662 1.4816 4.1906" Properties=species:S:1:pos:R:3 comment="CeThAlCu PBE optimized geometry" e_form_kcal_per_mol_atoms=-2.23 dos_at_fermi_per_ev_atom=2.02 pbc="T T T"
Al 7.6987 4.4448 3.1430
Ce 5.1325 2.9632 2.0953
Cu 2.5662 1.4816 1.0477
Th 0.0000 0.0000 0.0000

***

5
Lattice="4.0495 0.0000 0.0000 0.0000 4.0495 0.0000 -2.0247 -2.0247 5.4279" Properties=species:S:1:pos:R:3 comment="CeAlZnCu2 PBE optimized geometry" e_form_kcal_per_mol_atoms=-6.03 dos_at_fermi_per_ev_atom=1.29 pbc="T T T"
Ce 0.0000 0.0000 0.0000
Cu 2.0247 2.0247 1.2203
Zn 0.0000 2.0247 2.7139
Al 2.0247 0.0000 2.7139
Cu 0.0000 0.0000 4.2076

***

12
Lattice="5.5279 0.0000 0.0000 -2.7640 4.7873 0.0000 0.0000 0.0000 8.5135" Properties=species:S:1:pos:R:3 comment="Ce3Al2ZnCu6 PBE optimized geometry" e_form_kcal_per_mol_atoms=-0.57 dos_at_fermi_per_ev_atom=1.57 pbc="T T T"
Ce 0.0000 3.1916 5.2909
Cu 1.4880 0.8591 6.1789
Zn 0.0000 0.0000 4.2567
Cu 2.7640 3.0691 6.1789
Ce 0.0000 0.0000 0.0000
Ce 2.7640 1.5958 3.2226
Al 0.0000 3.1916 0.2309
Al 2.7640 1.5958 8.2826
Cu -1.2759 3.9282 2.3346
Cu 4.0399 0.8591 6.1789
Cu 0.0000 1.7182 2.3346
Cu 1.2759 3.9282 2.3346

***

18
Lattice="-1.9607 4.7337 4.0856 -0.4542 -3.9005 5.2464 6.0011 1.3509 2.2598" Properties=species:S:1:pos:R:3 comment="Ce2AlZn3Cu12 PBE optimized geometry" e_form_kcal_per_mol_atoms=2.35 dos_at_fermi_per_ev_atom=1.02 pbc="T T T"
Al 0.0000 0.0000 0.0000
Cu 0.4631 -1.6578 5.0910
Cu 2.9392 -0.8081 4.9321
Zn -0.2271 -1.9502 2.6232
Cu -0.3323 1.0309 8.0994
Cu -0.5504 0.6746 5.7323
Ce 2.5383 1.5459 8.2047
Cu 1.3073 -0.7921 7.1684
Cu 0.6470 2.9922 6.6597
Zn 3.0005 0.6754 1.1299
Cu 4.1366 1.5095 5.8595
Ce 1.0479 0.6382 3.3871
Cu -0.3433 2.9640 4.4697
Cu 3.9186 1.1532 3.4923
Cu 3.1231 3.8419 6.5007
Cu 3.9296 -0.7799 7.1221
Zn -0.9803 2.3669 2.0428
Cu 2.2789 2.9763 4.4233

***

8
Lattice="4.1796 0.0000 0.0000 2.0898 3.6197 0.0000 2.0898 1.2066 8.4664" Properties=species:S:1:pos:R:3 comment="CeAlZn2Cu4 PBE optimized geometry" e_form_kcal_per_mol_atoms=-2.99 dos_at_fermi_per_ev_atom=0.95 pbc="T T T"
Zn 6.2695 3.6197 6.0963
Cu 6.2695 3.6197 3.3353
Zn 2.0898 1.2066 2.3701
Al 4.1796 2.4131 4.2332
Cu 2.0898 1.2066 5.1311
Ce 0.0000 0.0000 0.0000
Cu 4.1796 2.4131 6.6905
Cu 4.1796 2.4131 1.7759

***

10
Lattice="4.2361 0.0000 0.0000 0.0000 4.2361 0.0000 0.0000 0.0000 10.1674" Properties=species:S:1:pos:R:3 comment="Ce2Al4ZnCu3 PBE optimized geometry" e_form_kcal_per_mol_atoms=-8.42 dos_at_fermi_per_ev_atom=1.19 pbc="T T T"
Zn 2.1180 2.1180 5.0837
Al 2.1180 2.1180 0.0000
Al 0.0000 2.1180 3.7060
Cu 0.0000 0.0000 5.0837
Cu 2.1180 0.0000 8.8637
Ce 0.0000 2.1180 7.6029
Cu 0.0000 2.1180 1.3037
Ce 2.1180 0.0000 2.5645
Al 0.0000 0.0000 0.0000
Al 2.1180 0.0000 6.4614

***

The records above yield ρ values of 4.8 5.4 6.4 5.5 6.0 6.9 8.0 6.7 6.8 7.6 7.2 5.9 g cm⁻³, respectively.
The records above yield size of the total moment values of 2.00 0.24 0.56 0.24 1.26 0.86 0.62 0.47 2.14 1.80 0.64 0.78 μB per formula unit, respectively.